The following is a PBE calculation of a geometry-optimized Nd3TmIr8 structure, from the Alexandria database.

## Properties
ΔH_f (0 K) (eV per atom): -0.7232
Calculated total energy (eV/atom): -8.20
Space-group type: No. 160

a = 5.416 Å, b = 5.416 Å, c = 9.374 Å
α = 73.21°, β = 73.21°, γ = 60.00°
Atoms (fractional coordinates):
Nd1 0.375 0.375 0.874
Nd2 0.999 0.999 0.002
Nd3 0.500 0.500 0.499
Tm1 0.875 0.875 0.376
Ir1 0.936 0.437 0.191
Ir2 0.440 0.938 0.684
Ir3 0.437 0.437 0.191
Ir4 0.938 0.938 0.684
Ir5 0.188 0.188 0.437
Ir6 0.688 0.688 0.937
Ir7 0.437 0.936 0.191
Ir8 0.938 0.440 0.684

The following is a PBE calculation of a geometry-optimized NdTmZnIr structure, from the Alexandria database.

## Properties
ΔH_f (0 K) (eV per atom): -0.5613
Calculated total energy (eV/atom): -5.40
Space-group type: No. 216

a = 4.984 Å, b = 4.984 Å, c = 4.984 Å
α = 60.00°, β = 60.00°, γ = 60.00°
Atoms (fractional coordinates):
Nd1 0.500 0.500 0.500
Zn1 0.250 0.250 0.250
Ir1 0.750 0.750 0.750
Tm1 0.000 0.000 0.000

The following is a PBE calculation of a geometry-optimized NdUIr3 structure, from the Alexandria database.

## Properties
ΔH_f (0 K) (eV per atom): -0.5248
Calculated total energy (eV/atom): -9.05
Space-group type: No. 11

a = 5.402 Å, b = 6.377 Å, c = 6.033 Å
α = 90.00°, β = 90.00°, γ = 82.94°
Atoms (fractional coordinates):
Nd1 0.303 0.662 0.250
Nd2 0.697 0.338 0.750
U1 0.719 0.081 0.250
U2 0.281 0.919 0.750
Ir1 0.767 0.785 0.530
Ir2 0.233 0.215 0.470
Ir3 0.767 0.785 0.970
Ir4 0.233 0.215 0.030
Ir5 0.838 0.449 0.250
Ir6 0.162 0.551 0.750